1.
First-principles (GGA-PBE) data for a geometry-optimized La2MgP3Rh12 structure, as listed in the Alexandria database.

Structure (extended XYZ):
```
18
Lattice="6.5786 -1.2652 -0.8974 2.1487 6.3452 -0.8974 2.1487 1.2507 6.2851" Properties=species:S:1:pos:R:3 pbc="T T T"
La 6.7211 3.9122 2.7749
La 4.1551 2.4186 1.7155
Mg 0.0000 0.0000 0.0000
P 3.2893 -0.6326 -0.4487
P 1.0744 3.1726 -0.4487
P 1.0744 0.6254 3.1426
Rh 5.0429 2.9354 5.1075
Rh 7.9544 4.6301 0.6482
Rh 5.7912 5.8587 4.1555
Rh 7.5258 1.5252 1.0818
Rh 7.9544 2.1424 4.1555
Rh 5.0429 5.7908 1.0818
Rh 5.8332 3.3954 -0.6172
Rh 2.9217 1.7007 3.8422
Rh 5.0849 0.4721 0.3349
Rh 3.3503 4.8056 3.4085
Rh 2.9217 4.1884 0.3349
Rh 5.8332 0.5400 3.4085
```

Calculated values
The space-group type is R-3m. For the formation enthalpy at 0 K, the calculation gives -0.312 eV/atom. The spin magnetization is 0.00 μB per formula unit. Its crystal system is trigonal.

---

2.
First-principles (GGA-PBE) data for a geometry-optimized Ac2TbGa structure, as listed in the Alexandria database.

Structure (extended XYZ):
```
4
Lattice="4.9045 0.0000 0.0000 0.0000 5.1853 0.0000 0.0000 0.0000 5.1853" Properties=species:S:1:pos:R:3 pbc="T T T"
Ac 0.0000 0.0000 2.5927
Ac 0.0000 2.5927 0.0000
Tb 2.4522 2.5927 2.5927
Ga 2.4522 0.0000 0.0000
```

Calculated values
The space-group type is P4/mmm. For the formation enthalpy at 0 K, the calculation gives -0.096 eV/atom. The distance to the lowest polymorph of the same formula is 68 meV/atom. The spin magnetization is 0.00 μB per formula unit. Its crystal system is tetragonal.

---

3.
First-principles (GGA-PBE) data for a geometry-optimized DySc2Ru2 structure, as listed in the Alexandria database.

Structure (extended XYZ):
```
5
Lattice="-2.6433 1.5827 -1.0767 -0.8379 0.7237 3.1208 4.6100 8.4097 1.0444" Properties=species:S:1:pos:R:3 pbc="T T T"
Dy 0.0000 0.0000 0.0000
Sc 2.8890 5.6555 1.2210
Sc 0.8832 3.4779 2.9442
Ru -0.7583 2.7252 0.9212
Ru 1.8871 7.9908 2.1672
```

Calculated values
The space-group type is Cmmm. For the formation enthalpy at 0 K, the calculation gives -0.385 eV/atom. The spin magnetization is 0.00 μB per formula unit. Its crystal system is orthorhombic.

---

4.
First-principles (GGA-PBE) data for a geometry-optimized Tb2Sm7Er4 structure, as listed in the Alexandria database.

Structure (extended XYZ):
```
13
Lattice="6.9247 -4.0097 -0.1790 -6.0841 13.4424 0.2184 -0.3663 0.6682 6.1476" Properties=species:S:1:pos:R:3 pbc="T T T"
Tb 2.4007 2.4942 0.9100
Tb -1.9265 7.6067 5.2770
Sm 1.8331 4.5556 3.7555
Sm -1.3589 5.5453 2.4315
Sm 0.0000 0.0000 0.0000
Sm -2.7001 11.0690 4.8449
Sm 3.1743 -0.9682 1.3421
Sm 1.6201 5.9711 0.4661
Sm -1.1459 4.1297 5.7210
Er 1.0374 8.0473 3.3297
Er -0.5632 2.0535 2.8574
Er 2.5934 1.0986 4.2000
Er -2.1192 9.0022 1.9870
```

Calculated values
The space-group type is P-1. For the formation enthalpy at 0 K, the calculation gives 0.014 eV/atom. The spin magnetization is 0.00 μB per formula unit. Its crystal system is triclinic.

---

5.
First-principles (GGA-PBE) data for a geometry-optimized K2ZrSe structure, as listed in the Alexandria database.

Structure (extended XYZ):
```
4
Lattice="-8.4292 -8.3321 2.9554 -5.7668 -10.4559 2.5741 -6.2809 -8.8733 5.5700" Properties=species:S:1:pos:R:3 pbc="T T T"
K -20.1743 -27.2525 10.9354
K -10.5410 -14.2394 5.7137
Se -5.1192 -6.9153 2.7749
Zr -15.3577 -20.7459 8.3246
```

Calculated values
The space-group type is R-3m. Its uncorrected formation energy is 0.253 eV per atom. The spin magnetization is 0.68 μB per formula unit. Its crystal system is trigonal.

---

6.
First-principles (GGA-PBE) data for a geometry-optimized CoPHBr structure, as listed in the Alexandria database.

Structure (extended XYZ):
```
4
Lattice="3.4236 -0.0551 0.0066 1.2796 3.3717 -0.0041 1.6302 0.1446 6.2110" Properties=species:S:1:pos:R:3 pbc="T T T"
Co 1.5645 3.0285 1.4902
P 3.2767 1.7451 1.4569
H 4.9581 2.8552 2.9711
Br 1.7616 0.7800 5.4856
```

Calculated values
The space-group type is P1. The distance to the lowest polymorph of the same formula is 249 meV/atom. The spin magnetization is 0.00 μB per formula unit. Its crystal system is triclinic.

---

7.
First-principles (GGA-PBE) data for a geometry-optimized RbSr2MgZn structure, as listed in the Alexandria database.

Structure (extended XYZ):
```
5
Lattice="-1.2637 -2.7079 -5.6093 4.8973 -3.9686 0.8126 -3.2952 -3.5622 2.4620" Properties=species:S:1:pos:R:3 pbc="T T T"
Sr 2.4486 -1.9843 0.4063
Sr -0.6318 -1.3539 -2.8046
Zn 0.0000 0.0000 0.0000
Mg -1.6476 -1.7811 1.2310
Rb 0.1692 -5.1193 -1.1674
```

Calculated values
The space-group type is P4/mmm. For the formation enthalpy at 0 K, the calculation gives 0.083 eV/atom. The spin magnetization is 0.00 μB per formula unit. Its crystal system is tetragonal.

---

8.
First-principles (GGA-PBE) data for a geometry-optimized La2MnHgCl structure, as listed in the Alexandria database.

Structure (extended XYZ):
```
5
Lattice="5.9408 0.0000 0.0000 0.0000 5.4173 0.0000 0.0000 0.0000 5.9408" Properties=species:S:1:pos:R:3 pbc="T T T"
Cl 0.0000 2.7086 0.0000
Mn 2.9704 2.7086 2.9704
Hg 0.0000 0.0000 0.0000
La 0.0000 0.0000 2.9704
La 2.9704 0.0000 0.0000
```

Calculated values
The space-group type is P4/mmm. Its uncorrected formation energy is 0.992 eV per atom. The spin magnetization is 0.57 μB per formula unit. Its crystal system is tetragonal.

---

9.
First-principles (GGA-PBE) data for a geometry-optimized RbPa2S5 structure, as listed in the Alexandria database.

Structure (extended XYZ):
```
8
Lattice="4.2172 0.0000 0.0000 2.1086 7.7970 1.4611 2.1086 3.7392 6.9961" Properties=species:S:1:pos:R:3 pbc="T T T"
Rb 0.0000 0.0000 0.0000
Pa 6.3257 7.9045 5.7948
Pa 2.1086 3.6317 2.6624
S 2.1086 5.7681 4.2286
S 4.2172 4.9443 1.4744
S 4.2172 6.5919 6.9829
S 4.2172 8.6426 4.1856
S 4.2172 2.8936 4.2717
```

Calculated values
The space-group type is Immm. Its uncorrected formation energy is -1.605 eV per atom. The spin magnetization is 1.11 μB per formula unit. Its crystal system is orthorhombic.

---

10.
First-principles (GGA-PBE) data for a geometry-optimized MoC structure, as listed in the Alexandria database.

Structure (extended XYZ):
```
4
Lattice="3.1420 0.0000 0.0000 -1.5710 2.7211 0.0000 0.0000 0.0000 5.9351" Properties=species:S:1:pos:R:3 pbc="T T T"
Mo 0.0000 1.8141 4.2015
Mo 1.5710 0.9070 1.2340
C 0.0000 1.8141 2.2202
C 1.5710 0.9070 5.1878
```

Calculated values
The space-group type is P6_3mc. For the formation enthalpy at 0 K, the calculation gives 0.449 eV/atom. The distance to the lowest polymorph of the same formula is 543 meV/atom. The spin magnetization is 0.00 μB per formula unit. Its crystal system is hexagonal.